LaGaSb2As after structural relaxation. Source: Alexandria, functional PBE.

The density of states at the Fermi level is 2.40 states/eV/cell. Its formation energy (no corrections) is -106 meV/atom. The calculation puts the spin magnetization at 0.00 μB per cell.

Cell lengths 5.543, 5.543, 4.837 Å; angles 90.00, 90.00, 90.00 degrees
Space group P4/mmm (No. 123)
Unique sites:
La: 0.000 0.000 0.000 (multiplicity 1)
Ga: 0.500 0.500 0.000 (multiplicity 1)
Sb: 0.000 0.500 0.500 (multiplicity 2)
As: 0.500 0.500 0.500 (multiplicity 1)

La2GaSbAs after structural relaxation. Source: Alexandria, functional PBE.

The density of states at the Fermi level is 5.70 states/eV/cell. Its formation energy (no corrections) is -373 meV/atom. The calculation puts the spin magnetization at 0.00 μB per cell.

Cell lengths 5.873, 5.873, 4.603 Å; angles 90.00, 90.00, 90.00 degrees
Space group P4/mmm (No. 123)
Unique sites:
La: 0.000 0.500 0.000 (multiplicity 2)
Ga: 0.000 0.000 0.000 (multiplicity 1)
Sb: 0.500 0.500 0.500 (multiplicity 1)
As: 0.000 0.000 0.500 (multiplicity 1)

LaGaAs2Se after structural relaxation. Source: Alexandria, functional PBE.

The density of states at the Fermi level is 7.28 states/eV/cell. For the energy above the lowest structure with this stoichiometry, the calculation gives 0.606 eV per atom. Its formation energy (no corrections) is 221 meV/atom. The calculation puts the spin magnetization at 0.01 μB per cell.

Cell lengths 5.735, 5.735, 5.742 Å; angles 90.00, 90.00, 90.00 degrees
Space group P4/mmm (No. 123)
Unique sites:
La: 0.000 0.000 0.000 (multiplicity 1)
Ga: 0.500 0.500 0.500 (multiplicity 1)
As: 0.000 0.500 0.000 (multiplicity 2)
Se: 0.000 0.000 0.500 (multiplicity 1)

LaGaAs2Se after structural relaxation. Source: Alexandria, functional PBE.

The density of states at the Fermi level is 5.06 states/eV/cell. For the energy above the lowest structure with this stoichiometry, the calculation gives 0.000 eV per atom. Its formation energy (no corrections) is -385 meV/atom. The calculation puts the spin magnetization at 0.00 μB per cell.

Cell lengths 4.883, 4.883, 5.187 Å; angles 90.00, 90.00, 90.00 degrees
Space group P4/mmm (No. 123)
Unique sites:
La: 0.000 0.000 0.000 (multiplicity 1)
Ga: 0.500 0.500 0.500 (multiplicity 1)
As: 0.000 0.500 0.500 (multiplicity 2)
Se: 0.500 0.500 0.000 (multiplicity 1)

La4GaAsSe2 after structural relaxation. Source: Alexandria, functional PBE.

The density of states at the Fermi level is 3.79 states/eV/cell. Its formation energy (no corrections) is -1519 meV/atom. The calculation puts the spin magnetization at 0.00 μB per cell.

Cell lengths 7.609, 4.309, 7.627 Å; angles 90.00, 108.93, 90.00 degrees
Space group P2/m (No. 10)
Unique sites:
La: 0.243 0.000 0.246 (multiplicity 2)
La: 0.249 0.500 0.752 (multiplicity 2)
Ga: 0.000 0.000 0.500 (multiplicity 1)
As: 0.000 0.500 0.000 (multiplicity 1)
Se: 0.500 0.000 0.000 (multiplicity 1)
Se: 0.500 0.500 0.500 (multiplicity 1)

Li2Ga2As after structural relaxation. Source: Alexandria, functional PBE.

The density of states at the Fermi level is 2.95 states/eV/cell. The formation energy is -164 meV/atom. The calculation puts the spin magnetization at 0.00 μB per cell.

Cell lengths 7.603, 7.603, 2.907 Å; angles 90.00, 90.00, 90.00 degrees
Space group P4/mbm (No. 127)
Unique sites:
Li: 0.178 0.322 0.000 (multiplicity 4)
Ga: 0.122 0.622 0.500 (multiplicity 4)
As: 0.000 0.000 0.500 (multiplicity 2)

LiGaAs2 after structural relaxation. Source: Alexandria, functional PBE.

The density of states at the Fermi level is 4.80 states/eV/cell. The formation energy is 7 meV/atom. The calculation puts the spin magnetization at 0.00 μB per cell.

Cell lengths 3.5045, 3.5045, 24.7955 Å; angles 90.00, 90.00, 120.00 degrees
Space group R-3m (No. 166, hexagonal axes)
Unique sites:
Li: 0.0000 0.0000 0.0000 (multiplicity 3)
Ga: 0.0000 0.0000 0.5000 (multiplicity 3)
As: 0.0000 0.0000 0.1000 (multiplicity 6)

Li5GaAs3 after structural relaxation. Source: Alexandria, functional PBE.

The density of states at the Fermi level is 14.67 states/eV/cell. The formation energy is -546 meV/atom. The calculation puts the spin magnetization at 0.00 μB per cell.

Cell lengths 13.536, 6.052, 8.567 Å; angles 90.00, 108.68, 90.00 degrees
Space group C2/c (No. 15)
Unique sites:
Li: 0.000 0.249 0.250 (multiplicity 4)
Li: 0.166 0.250 0.576 (multiplicity 8)
Li: 0.166 0.253 0.088 (multiplicity 8)
Ga: 0.000 0.264 0.750 (multiplicity 4)
As: 0.000 0.000 0.000 (multiplicity 4)
As: 0.163 0.484 0.830 (multiplicity 8)

LiGaAs3 after structural relaxation. Source: Alexandria, functional PBE.

The density of states at the Fermi level is 4.10 states/eV/cell. For the energy above the lowest structure with this stoichiometry, the calculation gives 0.000 eV per atom. The formation energy is 444 meV/atom. The calculation puts the spin magnetization at 0.00 μB per cell.

Cell lengths 4.655, 4.655, 4.655 Å; angles 90.00, 90.00, 90.00 degrees
Space group Pm-3m (No. 221)
Unique sites:
Li: 0.000 0.000 0.000 (multiplicity 1)
Ga: 0.500 0.500 0.500 (multiplicity 1)
As: 0.000 0.000 0.500 (multiplicity 3)

LiGa2As after structural relaxation. Source: Alexandria, functional PBE.

The density of states at the Fermi level is 1.17 states/eV/cell. The formation energy is -203 meV/atom. The calculation puts the spin magnetization at 0.00 μB per cell.

Cell lengths 3.992, 3.992, 4.422 Å; angles 90.00, 90.00, 90.00 degrees
Space group P4/mmm (No. 123)
Unique sites:
Li: 0.000 0.000 0.000 (multiplicity 1)
Ga: 0.000 0.500 0.500 (multiplicity 2)
As: 0.500 0.500 0.000 (multiplicity 1)

Li2GaAs after structural relaxation. Source: Alexandria, functional PBE.

The density of states at the Fermi level is 0.80 states/eV/cell. The formation energy is -351 meV/atom. The calculation puts the spin magnetization at 0.00 μB per cell.

Cell lengths 3.030, 3.030, 7.136 Å; angles 90.00, 90.00, 90.00 degrees
Space group P4/mmm (No. 123)
Unique sites:
Li: 0.000 0.000 0.234 (multiplicity 2)
Ga: 0.500 0.500 0.500 (multiplicity 1)
As: 0.500 0.500 0.000 (multiplicity 1)

Li3GaAs after structural relaxation. Source: Alexandria, functional PBE.

The density of states at the Fermi level is 2.70 states/eV/cell. For the energy above the lowest structure with this stoichiometry, the calculation gives 0.000 eV per atom. The formation energy is -221 meV/atom. The calculation puts the spin magnetization at 0.00 μB per cell.

Cell lengths 4.785, 4.785, 4.785 Å; angles 90.00, 90.00, 90.00 degrees
Space group Pm-3m (No. 221)
Unique sites:
Li: 0.000 0.000 0.500 (multiplicity 3)
Ga: 0.500 0.500 0.500 (multiplicity 1)
As: 0.000 0.000 0.000 (multiplicity 1)

LiGaAs3 after structural relaxation. Source: Alexandria, functional PBE.

The density of states at the Fermi level is 3.64 states/eV/cell. For the energy above the lowest structure with this stoichiometry, the calculation gives 0.011 eV per atom. The formation energy is 456 meV/atom. The calculation puts the spin magnetization at 0.00 μB per cell.

Cell lengths 4.981, 4.981, 4.981 Å; angles 90.00, 90.00, 90.00 degrees
Space group Pm-3m (No. 221)
Unique sites:
Li: 0.000 0.000 0.000 (multiplicity 1)
Ga: 0.500 0.500 0.500 (multiplicity 1)
As: 0.000 0.500 0.500 (multiplicity 3)

Li2GaAs after structural relaxation. Source: Alexandria, functional PBE.

The density of states at the Fermi level is 8.58 states/eV/cell. The formation energy is -208 meV/atom. The calculation puts the spin magnetization at 0.00 μB per cell.

Cell lengths 3.984, 3.984, 18.032 Å; angles 90.00, 90.00, 90.00 degrees
Space group I-42d (No. 122)
Unique sites:
Li: 0.230 0.250 0.125 (multiplicity 8)
Ga: 0.000 0.000 0.500 (multiplicity 4)
As: 0.000 0.000 0.000 (multiplicity 4)

Li2GaAs2 after structural relaxation. Source: Alexandria, functional PBE.

The density of states at the Fermi level is 2.53 states/eV/cell. For the energy above the lowest structure with this stoichiometry, the calculation gives 0.000 eV per atom. The formation energy is -365 meV/atom. The calculation puts the spin magnetization at 0.00 μB per cell.

Cell lengths 7.866, 7.866, 2.775 Å; angles 90.00, 90.00, 90.00 degrees
Space group P4/mbm (No. 127)
Unique sites:
Li: 0.122 0.378 0.000 (multiplicity 4)
Ga: 0.000 0.000 0.500 (multiplicity 2)
As: 0.176 0.676 0.500 (multiplicity 4)

Li3GaAs2 after structural relaxation. Source: Alexandria, functional PBE.

The formation energy is -490 meV/atom. The calculation puts the spin magnetization at 0.00 μB per cell.

Cell lengths 6.069, 12.130, 6.674 Å; angles 90.00, 90.00, 90.00 degrees
Space group Ibam (No. 72)
Unique sites:
Li: 0.000 0.000 0.250 (multiplicity 4)
Li: 0.000 0.262 0.250 (multiplicity 8)
Ga: 0.000 0.500 0.000 (multiplicity 4)
As: 0.232 0.135 0.000 (multiplicity 8)

LiGa2As after structural relaxation. Source: Alexandria, functional PBE.

The density of states at the Fermi level is 0.00 states/eV/cell. The formation energy is -248 meV/atom. The calculation puts the spin magnetization at 0.00 μB per cell.

Cell lengths 8.176, 8.176, 4.874 Å; angles 90.00, 90.00, 90.00 degrees
Space group I-42d (No. 122)
Unique sites:
Li: 0.000 0.000 0.000 (multiplicity 4)
Ga: 0.186 0.250 0.625 (multiplicity 8)
As: 0.000 0.000 0.500 (multiplicity 4)

Li2GaAs2 after structural relaxation. Source: Alexandria, functional PBE.

The density of states at the Fermi level is 3.26 states/eV/cell. For the energy above the lowest structure with this stoichiometry, the calculation gives 0.107 eV per atom. The formation energy is -258 meV/atom. The calculation puts the spin magnetization at 0.00 μB per cell.

Cell lengths 4.326, 4.326, 10.515 Å; angles 90.00, 90.00, 90.00 degrees
Space group I4/mmm (No. 139)
Unique sites:
Li: 0.000 0.500 0.250 (multiplicity 4)
Ga: 0.000 0.000 0.000 (multiplicity 2)
As: 0.000 0.000 0.389 (multiplicity 4)

LiGa3As after structural relaxation. Source: Alexandria, functional PBE.

The density of states at the Fermi level is 2.05 states/eV/cell. For the energy above the lowest structure with this stoichiometry, the calculation gives 0.000 eV per atom. The formation energy is 320 meV/atom. The calculation puts the spin magnetization at 0.00 μB per cell.

Cell lengths 5.070, 5.070, 5.070 Å; angles 90.00, 90.00, 90.00 degrees
Space group Pm-3m (No. 221)
Unique sites:
Li: 0.000 0.000 0.000 (multiplicity 1)
Ga: 0.000 0.500 0.500 (multiplicity 3)
As: 0.500 0.500 0.500 (multiplicity 1)

LiGaAs2 after structural relaxation. Source: Alexandria, functional PBE.

The density of states at the Fermi level is 8.50 states/eV/cell. The formation energy is -15 meV/atom. The calculation puts the spin magnetization at 0.00 μB per cell.

Cell lengths 6.177, 6.177, 9.913 Å; angles 90.00, 90.00, 90.00 degrees
Space group I-42d (No. 122)
Unique sites:
Li: 0.000 0.000 0.000 (multiplicity 4)
Ga: 0.000 0.000 0.500 (multiplicity 4)
As: 0.237 0.250 0.625 (multiplicity 8)